Here is BaAlRe2 after structural relaxation from Alexandria via LeMat-Bulk. Energies are from PBE.

a b c (Å): 3.158 4.072 7.401
angles (deg): 90.00 101.82 90.00
Space group Pm (No. 6)
One atom of each set of equivalent atoms:
Ba 0.000 0.000 0.000 [1 per cell]
Al 0.347 0.500 0.683 [1 per cell]
Re 0.229 0.000 0.440 [1 per cell]
Re 0.707 0.500 0.393 [1 per cell]

Computed properties:
Calculated density   9.57 Mg/m³

Here is BaAlRe2 after structural relaxation from Alexandria via LeMat-Bulk. Energies are from PBE.

a b c (Å): 3.636 4.704 6.092
angles (deg): 90.00 98.55 90.00
Space group P2/m (No. 10)
One atom of each set of equivalent atoms:
Ba 0.000 0.000 0.000 [1 per cell]
Al 0.500 0.000 0.500 [1 per cell]
Re 0.287 0.500 0.625 [2 per cell]

Computed properties:
Calculated density   8.65 Mg/m³

Number 1: ΔE_f 166 kJ/mol of formula units, DOS at the Fermi energy 2.33 states/eV/cell, total moment 0.000 μB/f.u.. Number 2: ΔE_f 251 kJ/mol of formula units, DOS at the Fermi energy 3.40 states/eV/cell, total moment 0.000 μB/f.u..